Record 1
## Tm2Be2Ge3 (GGA-PBE)

Data for a relaxed Tm2Be2Ge3 crystal.

Values from the calculation:
Fermi-level density of states	1.6	states/eV/f.u.
DFT formation energy	-0.398	eV/atom

Unit cell a=9.933 b=9.933 c=6.204 alpha=90.00 beta=90.00 gamma=156.39
Positions (direct):
Tm 0.028 0.972 0.750
Tm 0.162 0.838 0.250
Tm 0.838 0.162 0.750
Tm 0.972 0.028 0.250
Be 0.303 0.697 0.059
Be 0.303 0.697 0.441
Be 0.697 0.303 0.559
Be 0.697 0.303 0.941
Ge 0.219 0.781 0.750
Ge 0.422 0.578 0.540
Ge 0.422 0.578 0.960
Ge 0.578 0.422 0.040
Ge 0.578 0.422 0.460
Ge 0.781 0.219 0.250

Record 2
## Tm2BeGe3 (GGA-PBE)

Data for a relaxed Tm2BeGe3 crystal.

Values from the calculation:
Fermi-level density of states	2.1	states/eV/f.u.
DFT formation energy	-0.525	eV/atom

Unit cell a=3.950 b=3.992 c=7.153 alpha=90.00 beta=90.00 gamma=90.00
Positions (direct):
Tm 0.000 0.000 0.000
Tm 0.000 0.500 0.493
Be 0.500 0.000 0.320
Ge 0.500 0.000 0.631
Ge 0.500 0.500 0.189
Ge 0.500 0.500 0.839